[1]
An optimized crystal structure of CaCu2, computed with PBE.

For the total magnetization, the calculation gives 0.0 μB per formula unit. Its total energy is -3.318 eV/atom. The calculation puts the formation energy at 80.4 meV/atom.

The space group is R3m (No. 160, hexagonal axes) and the conventional cell measures 4.1399, 4.1399 and 13.2449 Å, with angles of 90.00, 90.00 and 120.00 degrees. Symmetry generates all atoms from Ca at (0.0000, 0.0000, 0.0000), Cu at (0.0000, 0.0000, 0.2099) and Cu at (0.0000, 0.0000, 0.5079).

***

[2]
An optimized crystal structure of Cr2ReP, computed with PBE.

For the total magnetization, the calculation gives 0.0 μB per formula unit. Its total energy is -9.207 eV/atom. The calculation puts the formation energy at 68.9 meV/atom.

The space group is R-3m (No. 166, hexagonal axes) and the conventional cell measures 2.7411, 2.7411 and 23.5039 Å, with angles of 90.00, 90.00 and 120.00 degrees. Symmetry generates all atoms from Cr at (0.0000, 0.0000, 0.2432), Re at (0.0000, 0.0000, 0.0000) and P at (0.0000, 0.0000, 0.5000).

***

[3]
An optimized crystal structure of LaPrRe, computed with PBE.

For the total magnetization, the calculation gives 0.0 μB per formula unit. Its total energy is -7.232 eV/atom. The calculation puts the formation energy at 153.0 meV/atom.

The space group is C2/m (No. 12) and the conventional cell measures 14.005, 4.211 and 6.342 Å, with angles of 90.00, 99.54 and 90.00 degrees. Symmetry generates all atoms from La at (0.158, 0.000, 0.342), Pr at (0.067, 0.500, 0.779) and Re at (0.241, 0.500, 0.093).

***

[4]
An optimized crystal structure of CaCuAsBr2, computed with PBE.

For the total magnetization, the calculation gives 2.0 μB per formula unit. Its total energy is -2.815 eV/atom. The value obtained for the raw formation energy is 3 meV per atom.

The space group is P4/mmm (No. 123) and the conventional cell measures 5.512, 5.512 and 5.967 Å, with angles of 90.00, 90.00 and 90.00 degrees. Symmetry generates all atoms from Ca at (0.000, 0.000, 0.000), Cu at (0.500, 0.500, 0.500), As at (0.000, 0.000, 0.500) and Br at (0.000, 0.500, 0.000).

***

[5]
An optimized crystal structure of FeIr5, computed with PBE.

For the total magnetization, the calculation gives 4.1 μB per formula unit. Its total energy is -8.197 eV/atom. The calculation puts the formation energy at 597.8 meV/atom.

The space group is P6/mmm (No. 191) and the conventional cell measures 5.0954, 5.0954 and 4.4427 Å, with angles of 90.00, 90.00 and 120.00 degrees. Symmetry generates all atoms from Fe at (0.0000, 0.0000, 0.0000), Ir at (0.0000, 0.5000, 0.5000) and Ir at (0.3333, 0.6667, 0.0000).

***

[6]
An optimized crystal structure of HfNi2H, computed with PBE.

For the total magnetization, the calculation gives 0.0 μB per formula unit. Its total energy is -6.410 eV/atom.

The space group is I-42d (No. 122) and the conventional cell measures 5.082, 5.082 and 7.144 Å, with angles of 90.00, 90.00 and 90.00 degrees. Symmetry generates all atoms from Hf at (0.000, 0.000, 0.000), Ni at (0.007, 0.250, 0.625) and H at (0.000, 0.000, 0.500).

***

[7]
An optimized crystal structure of Na2LaAu2, computed with PBE.

For the total magnetization, the calculation gives 0.0 μB per formula unit. Its total energy is -3.147 eV/atom. The calculation puts the formation energy at -322.5 meV/atom.

The space group is P4/mbm (No. 127) and the conventional cell measures 7.747, 7.747 and 4.515 Å, with angles of 90.00, 90.00 and 90.00 degrees. Symmetry generates all atoms from Na at (0.156, 0.344, 0.000), La at (0.000, 0.000, 0.500) and Au at (0.130, 0.630, 0.500).

***

[8]
An optimized crystal structure of LaNd2Ge2, computed with PBE.

For the total magnetization, the calculation gives 0.0 μB per formula unit. Its total energy is -5.308 eV/atom. The calculation puts the formation energy at -568.2 meV/atom.

The space group is C2/m (No. 12) and the conventional cell measures 12.245, 3.928 and 6.023 Å, with angles of 90.00, 101.70 and 90.00 degrees. Symmetry generates all atoms from La at (0.000, 0.000, 0.000), Nd at (0.139, 0.500, 0.564) and Ge at (0.213, 0.500, 0.106).

***

[9]
An optimized crystal structure of TiRe2Ge2, computed with PBE.

For the total magnetization, the calculation gives 0.0 μB per formula unit. Its total energy is -8.338 eV/atom. The calculation puts the formation energy at 67.5 meV/atom.

The space group is P4/mbm (No. 127) and the conventional cell measures 7.111, 7.111 and 3.045 Å, with angles of 90.00, 90.00 and 90.00 degrees. Symmetry generates all atoms from Ti at (0.000, 0.000, 0.000), Re at (0.148, 0.352, 0.500) and Ge at (0.149, 0.649, 0.000).

***

[10]
An optimized crystal structure of Cu2ReSiGe, computed with PBE.

For the total magnetization, the calculation gives 0.0 μB per formula unit. Its total energy is -4.861 eV/atom. The value obtained for the raw formation energy is 1276 meV per atom.

The space group is P4/mmm (No. 123) and the conventional cell measures 4.711, 4.711 and 4.715 Å, with angles of 90.00, 90.00 and 90.00 degrees. Symmetry generates all atoms from Cu at (0.000, 0.500, 0.000), Re at (0.000, 0.000, 0.000), Si at (0.500, 0.500, 0.500) and Ge at (0.000, 0.000, 0.500).

***

[11]
An optimized crystal structure of NdPuI6, computed with PBE.

For the total magnetization, the calculation gives 5.0 μB per formula unit. Its total energy is -4.726 eV/atom. The value obtained for the raw formation energy is -1176 meV per atom.

The space group is R-3 (No. 148, hexagonal axes) and the conventional cell measures 7.7549, 7.7549 and 21.4808 Å, with angles of 90.00, 90.00 and 120.00 degrees. Symmetry generates all atoms from Nd at (0.0000, 0.0000, 0.0000), Pu at (0.0000, 0.0000, 0.5000) and I at (0.0040, 0.6620, 0.2505).

***

[12]
An optimized crystal structure of AcHg2Pt, computed with PBE.

For the total magnetization, the calculation gives 0.0 μB per formula unit. Its total energy is -3.195 eV/atom. The calculation puts the formation energy at -506.6 meV/atom.

The space group is Cm (No. 8) and the conventional cell measures 12.007, 4.353 and 4.354 Å, with angles of 90.00, 110.98 and 90.00 degrees. Symmetry generates all atoms from Ac at (0.000, 0.000, 0.000), Hg at (0.257, 0.000, 0.756), Hg at (0.257, 0.500, 0.256) and Pt at (0.063, 0.500, 0.563).